(1)
TaIrPd2Cl | GGA-PBE | relaxed

Cell and atoms, written as POSCAR:
```
TaIrPd2Cl
1.0
-0.777 4.637 1.558
-4.238 -0.476 -0.697
-0.576 -1.653 4.633
Ir Pd Ta Cl
1 2 1 1
Direct
0.000 0.000 0.000 Ir
0.500 0.000 0.000 Pd
0.000 0.000 0.500 Pd
0.500 0.500 0.500 Ta
0.000 0.500 0.000 Cl
```

Its space-group type is No. 123. The total moment comes out at 0.34 μB per atom. The energy relative to the elements, uncorrected comes out at 1.411 eV/atom. The density of states at the Fermi level is 7.9 states/eV/cell. As for the crystal system: tetragonal. The calculation puts the total energy at -5.18 eV per atom.

(2)
Ti2IrPdCl | GGA-PBE | relaxed

Cell and atoms, written as POSCAR:
```
Ti2IrPdCl
1.0
4.384 0.000 0.000
0.000 4.398 0.000
0.000 0.000 4.384
Ti Pd Ir Cl
2 1 1 1
Direct
0.500 0.000 0.000 Ti
0.000 0.000 0.500 Ti
0.500 0.500 0.500 Pd
0.000 0.500 0.000 Ir
0.000 0.000 0.000 Cl
```

Its space-group type is No. 123. The total moment comes out at 0.00 μB per atom. The energy relative to the elements, uncorrected comes out at 0.236 eV/atom. The density of states at the Fermi level is 6.1 states/eV/cell. As for the crystal system: tetragonal. The calculation puts the total energy at -6.10 eV per atom.

(3)
TlIrPdCl2 | GGA-PBE | relaxed

Cell and atoms, written as POSCAR:
```
TlIrPdCl2
1.0
4.735 0.000 0.000
0.000 5.237 0.000
0.000 0.000 4.735
Cl Ir Tl Pd
2 1 1 1
Direct
0.000 0.000 0.500 Cl
0.500 0.000 0.000 Cl
0.000 0.000 0.000 Ir
0.500 0.500 0.500 Tl
0.000 0.500 0.000 Pd
```

Its space-group type is No. 123. The total moment comes out at 0.00 μB per atom. The energy relative to the elements, uncorrected comes out at 0.174 eV/atom. The density of states at the Fermi level is 4.9 states/eV/cell. As for the crystal system: tetragonal. The calculation puts the total energy at -3.85 eV per atom.

(4)
Pm4Ir2Cl3 | GGA-PBE | relaxed

Cell and atoms, written as POSCAR:
```
Pm4Ir2Cl3
1.0
4.059 0.000 0.002
-2.030 3.515 -0.002
-0.012 0.007 18.096
Cl Ir Pm
3 2 4
Direct
0.000 0.000 0.000 Cl
0.666 0.334 0.399 Cl
0.334 0.666 0.601 Cl
0.333 0.667 0.209 Ir
0.667 0.333 0.791 Ir
0.666 0.334 0.124 Pm
0.000 0.000 0.697 Pm
0.000 0.000 0.303 Pm
0.334 0.666 0.876 Pm
```

Its space-group type is No. 12. The total moment comes out at 0.00 μB per atom. The energy relative to the elements, uncorrected comes out at -1.351 eV/atom. The density of states at the Fermi level is 4.4 states/eV/cell. As for the crystal system: monoclinic. The calculation puts the total energy at -6.05 eV per atom.

(5)
Pm2IrCl | GGA-PBE | relaxed

Cell and atoms, written as POSCAR:
```
Pm2IrCl
1.0
4.111 0.000 0.000
-2.055 3.560 -0.001
0.000 -2.372 7.492
Pm Ir Cl
2 1 1
Direct
0.266 0.031 0.297 Pm
0.734 0.969 0.703 Pm
0.000 0.500 0.500 Ir
0.500 0.500 0.000 Cl
```

Its space-group type is No. 166. The total moment comes out at 0.00 μB per atom. The energy relative to the elements, uncorrected comes out at -1.199 eV/atom. The density of states at the Fermi level is 1.3 states/eV/cell. The energy relative to the lowest polymorph listed for this composition comes out at 0 meV per atom. As for the crystal system: trigonal. The calculation puts the total energy at -6.25 eV per atom.

(6)
Pm2IrCl | GGA-PBE | relaxed

Cell and atoms, written as POSCAR:
```
Pm2IrCl
1.0
-1.193 3.921 -0.195
-2.283 1.295 -3.153
-7.508 0.000 2.768
Pm Ir Cl
2 1 1
Direct
0.269 0.269 0.194 Pm
0.068 0.068 0.797 Pm
0.668 0.668 0.997 Ir
0.496 0.496 0.512 Cl
```

Its space-group type is No. 160. The total moment comes out at 0.00 μB per atom. The energy relative to the elements, uncorrected comes out at -1.168 eV/atom. The density of states at the Fermi level is 1.3 states/eV/cell. The energy relative to the lowest polymorph listed for this composition comes out at 31 meV per atom. As for the crystal system: trigonal. The calculation puts the total energy at -6.22 eV per atom.

(7)
Pm6IrCl8 | GGA-PBE | relaxed

Cell and atoms, written as POSCAR:
```
Pm6IrCl8
1.0
-5.698 -2.295 3.990
-0.321 -6.960 2.263
2.739 -0.644 10.265
Pm Cl Ir
6 8 1
Direct
0.058 0.354 0.830 Pm
0.242 0.942 0.170 Pm
0.646 0.242 0.170 Pm
0.758 0.058 0.830 Pm
0.942 0.646 0.170 Pm
0.354 0.758 0.830 Pm
0.461 0.107 0.673 Cl
0.667 0.667 0.000 Cl
0.893 0.241 0.327 Cl
0.241 0.539 0.327 Cl
0.759 0.461 0.673 Cl
0.107 0.759 0.673 Cl
0.539 0.893 0.327 Cl
0.333 0.333 0.000 Cl
0.000 0.000 0.000 Ir
```

Its space-group type is No. 148. The total moment comes out at 0.00 μB per atom. The energy relative to the elements, uncorrected comes out at -1.704 eV/atom. The density of states at the Fermi level is 5.7 states/eV/cell. As for the crystal system: trigonal. The calculation puts the total energy at -5.18 eV per atom.

(8)
Pm4IrCl5 | GGA-PBE | relaxed

Cell and atoms, written as POSCAR:
```
Pm4IrCl5
1.0
-1.945 0.991 -3.418
5.867 -4.125 -4.535
-5.636 -6.825 3.636
Ir Pm Cl
1 4 5
Direct
0.500 0.000 0.000 Ir
0.655 0.105 0.310 Pm
0.002 0.777 0.003 Pm
0.345 0.895 0.690 Pm
0.998 0.223 0.997 Pm
0.500 0.500 0.000 Cl
0.833 0.659 0.666 Cl
0.826 0.124 0.652 Cl
0.167 0.341 0.334 Cl
0.174 0.876 0.348 Cl
```

Its space-group type is No. 12. The total moment comes out at 0.00 μB per atom. The energy relative to the elements, uncorrected comes out at -1.716 eV/atom. The density of states at the Fermi level is 4.9 states/eV/cell. As for the crystal system: monoclinic. The calculation puts the total energy at -5.43 eV per atom.

(9)
Pm3IrCl2 | GGA-PBE | relaxed

Cell and atoms, written as POSCAR:
```
Pm3IrCl2
1.0
-0.524 -1.713 3.656
3.920 -4.108 -1.363
3.334 6.860 1.425
Cl Pm Ir
2 3 1
Direct
0.179 0.179 0.859 Cl
0.821 0.821 0.141 Cl
0.866 0.366 0.231 Pm
0.500 0.000 0.500 Pm
0.134 0.634 0.769 Pm
0.500 0.500 0.500 Ir
```

Its space-group type is No. 71. The total moment comes out at 0.00 μB per atom. The energy relative to the elements, uncorrected comes out at -1.252 eV/atom. The density of states at the Fermi level is 3.7 states/eV/cell. As for the crystal system: orthorhombic. The calculation puts the total energy at -5.72 eV per atom.

(10)
Pm2IrCl | GGA-PBE | relaxed

Cell and atoms, written as POSCAR:
```
Pm2IrCl
1.0
-1.249 2.446 2.062
-2.684 0.404 -2.105
-4.119 -5.622 4.173
Pm Cl Ir
2 1 1
Direct
0.000 0.000 0.216 Pm
0.000 0.000 0.784 Pm
0.500 0.500 0.500 Cl
0.500 0.500 0.000 Ir
```

Its space-group type is No. 123. The total moment comes out at 0.00 μB per atom. The energy relative to the elements, uncorrected comes out at -1.029 eV/atom. The density of states at the Fermi level is 2.4 states/eV/cell. The energy relative to the lowest polymorph listed for this composition comes out at 170 meV per atom. As for the crystal system: tetragonal. The calculation puts the total energy at -6.08 eV per atom.

(11)
Pm3Ir2Cl | GGA-PBE | relaxed

Cell and atoms, written as POSCAR:
```
Pm3Ir2Cl
1.0
-0.907 -1.495 -3.828
-4.137 -4.898 5.206
-7.380 5.717 -0.485
Ir Cl Pm
4 2 6
Direct
0.481 0.962 0.250 Ir
0.519 0.038 0.750 Ir
0.000 0.000 0.000 Ir
0.000 0.000 0.500 Ir
0.779 0.558 0.750 Cl
0.221 0.442 0.250 Cl
0.387 0.774 0.945 Pm
0.613 0.226 0.055 Pm
0.130 0.260 0.750 Pm
0.870 0.740 0.250 Pm
0.387 0.774 0.555 Pm
0.613 0.226 0.445 Pm
```

Its space-group type is No. 63. The total moment comes out at 0.00 μB per atom. The energy relative to the elements, uncorrected comes out at -0.713 eV/atom. The density of states at the Fermi level is 9.2 states/eV/cell. As for the crystal system: orthorhombic. The calculation puts the total energy at -6.35 eV per atom.

(12)
Pm5Ir2Cl2 | GGA-PBE | relaxed

Cell and atoms, written as POSCAR:
```
Pm5Ir2Cl2
1.0
8.044 0.000 0.000
0.000 7.073 -3.636
0.000 -0.073 8.555
Ir Pm Cl
4 10 4
Direct
0.860 0.357 0.000 Ir
0.640 0.857 0.000 Ir
0.140 0.643 0.000 Ir
0.360 0.143 0.000 Ir
0.152 0.225 0.763 Pm
0.000 0.000 0.000 Pm
0.500 0.500 0.000 Pm
0.348 0.725 0.763 Pm
0.652 0.037 0.763 Pm
0.152 0.463 0.237 Pm
0.848 0.537 0.763 Pm
0.652 0.275 0.237 Pm
0.348 0.963 0.237 Pm
0.848 0.775 0.237 Pm
0.000 0.204 0.409 Cl
0.500 0.296 0.591 Cl
0.500 0.704 0.409 Cl
0.000 0.796 0.591 Cl
```

Its space-group type is No. 64. The total moment comes out at 0.00 μB per atom. The energy relative to the elements, uncorrected comes out at -0.989 eV/atom. The density of states at the Fermi level is 14.9 states/eV/cell. As for the crystal system: orthorhombic. The calculation puts the total energy at -6.01 eV per atom.